An optimized crystal structure of FeP2Os, computed with PBEsol. Values from VASP.

```
&SYSTEM
  ibrav = 0, nat = 4, ntyp = 3
/
ATOMIC_SPECIES
Fe 55.84 Fe.upf
Os 190.23 Os.upf
P 30.97 P.upf
ATOMIC_POSITIONS angstrom
Fe 2.790 1.611 3.533
Os 0.000 0.000 0.000
P 4.184 2.416 5.187
P 1.395 0.805 1.878
CELL_PARAMETERS angstrom
2.790 0.000 0.000
1.395 2.416 0.000
1.395 0.805 7.065
```

Computed properties:
**Energy**: -8.370 eV per atom
**Excess energy over the best structure of this formula in the dataset**: 0.02 eV per formula unit
**DOS(E_F)**: 2.678 states/eV per cell



An optimized crystal structure of Y3In, computed with PBEsol. Values from VASP.

```
&SYSTEM
  ibrav = 0, nat = 4, ntyp = 2
/
ATOMIC_SPECIES
Y 88.91 Y.upf
In 114.82 In.upf
ATOMIC_POSITIONS angstrom
Y 1.912 0.000 0.000
Y 0.000 0.000 3.137
Y 1.912 2.623 2.511
In 0.000 2.623 0.000
CELL_PARAMETERS angstrom
3.824 0.000 0.000
0.000 5.247 0.000
-1.912 -2.623 5.649
```

Computed properties:
**Energy**: -6.156 eV per atom
**DOS(E_F)**: 3.566 states/eV per cell



An optimized crystal structure of KTl2Te, computed with PBEsol. Values from VASP.

```
&SYSTEM
  ibrav = 0, nat = 4, ntyp = 3
/
ATOMIC_SPECIES
Te 127.60 Te.upf
Tl 204.38 Tl.upf
K 39.10 K.upf
ATOMIC_POSITIONS angstrom
Te 0.000 0.000 2.661
Tl 0.000 2.409 0.000
Tl 2.409 0.000 0.000
K 2.409 2.409 2.661
CELL_PARAMETERS angstrom
4.818 0.000 0.000
0.000 4.818 0.000
0.000 0.000 5.323
```

Computed properties:
**Formation energy (no corrections)**: -0.397 eV per atom
**Energy**: -2.877 eV per atom
**Excess energy over the best structure of this formula in the dataset**: 0.00 eV per formula unit
**DOS(E_F)**: 1.379 states/eV per cell



An optimized crystal structure of AlRh2Au, computed with PBEsol. Values from VASP.

```
&SYSTEM
  ibrav = 0, nat = 4, ntyp = 3
/
ATOMIC_SPECIES
Au 196.97 Au.upf
Al 26.98 Al.upf
Rh 102.91 Rh.upf
ATOMIC_POSITIONS angstrom
Au -0.783 -2.650 0.366
Al 2.017 -1.555 -0.746
Rh 0.727 -4.688 1.969
Rh 1.499 -2.064 1.626
CELL_PARAMETERS angstrom
-0.155 -1.875 -2.237
4.223 -1.154 0.675
-3.355 -1.692 3.560
```

Computed properties:
**Energy**: -6.372 eV per atom
**DOS(E_F)**: 4.844 states/eV per cell



An optimized crystal structure of AgF2, computed with PBEsol. Values from VASP.

```
&SYSTEM
  ibrav = 0, nat = 12, ntyp = 2
/
ATOMIC_SPECIES
F 19.00 F.upf
Ag 107.87 Ag.upf
ATOMIC_POSITIONS angstrom
F -1.112 2.655 3.775
F -0.619 5.551 4.397
F -2.329 4.840 2.168
F 1.291 4.483 2.525
F 2.508 2.298 4.132
F 0.598 3.366 6.004
F -0.419 3.772 0.296
F 0.798 1.587 1.903
Ag -2.017 2.955 1.352
Ag 0.231 1.071 3.838
Ag 0.000 0.000 0.000
Ag 1.964 3.113 1.109
CELL_PARAMETERS angstrom
-0.283 4.997 -1.377
-3.750 0.912 4.082
4.212 1.229 3.595
```

Computed properties:
**Formation energy (no corrections)**: -1.117 eV per atom
**Energy**: -3.506 eV per atom
**DOS(E_F)**: 6.893 states/eV per cell



An optimized crystal structure of Ca2POs, computed with PBEsol. Values from VASP.

```
&SYSTEM
  ibrav = 0, nat = 4, ntyp = 3
/
ATOMIC_SPECIES
Os 190.23 Os.upf
Ca 40.08 Ca.upf
P 30.97 P.upf
ATOMIC_POSITIONS angstrom
Os 1.423 0.000 0.000
Ca 0.000 -0.678 2.530
Ca 0.000 2.619 -0.010
P 1.423 1.941 2.520
CELL_PARAMETERS angstrom
2.847 0.000 0.000
0.000 5.239 -0.019
0.000 -1.357 5.060
```

Computed properties:
**Energy**: -5.505 eV per atom
**DOS(E_F)**: 1.957 states/eV per cell